Record 1
The following is a GGA-PBE calculation of an optimized crystal structure of TlCdMoW2, from Alexandria via LeMat-Bulk.

Calculated values
- crystal system = tetragonal
- DOS(E_F) (states/eV per atom) = 1.208
- E (eV/atom) = -6.24
- energy of formation from the pure elements (eV per atom) = 1.76

```
data_TlCdMoW2
_chemical_formula_sum 'Tl1 Cd1 Mo1 W2'
_cell_length_a 4.773
_cell_length_b 4.773
_cell_length_c 5.428
_cell_angle_alpha 90.00
_cell_angle_beta 90.00
_cell_angle_gamma 90.00
_space_group_name_H-M_alt 'P 4/m m m'
_space_group_IT_number 123
_space_group_name_Hall '-P 4 2'
loop_
_atom_site_label
_atom_site_fract_x
_atom_site_fract_y
_atom_site_fract_z
Tl1 0.000 0.000 0.000
Cd1 0.500 0.500 0.000
Mo1 0.500 0.500 0.500
W1 0.000 0.500 0.500
```

Record 2
The following is a GGA-PBE calculation of an optimized crystal structure of KBa2Mn, from Alexandria via LeMat-Bulk.

Calculated values
- crystal system = monoclinic
- DOS(E_F) (states/eV per atom) = 1.144
- E (eV/atom) = -3.04
- energy of formation from the pure elements (eV per atom) = 0.49

```
data_KBa2Mn
_chemical_formula_sum 'K1 Ba2 Mn1'
_cell_length_a 4.796
_cell_length_b 4.608
_cell_length_c 10.227
_cell_angle_alpha 90.00
_cell_angle_beta 103.47
_cell_angle_gamma 90.00
_space_group_name_H-M_alt 'P 1 m 1'
_space_group_IT_number 6
loop_
_space_group_symop_operation_xyz
'x,y,z'
'x,-y,z'
loop_
_atom_site_label
_atom_site_fract_x
_atom_site_fract_y
_atom_site_fract_z
K1 0.000 0.000 0.000
Ba1 0.312 0.000 0.631
Ba2 0.668 0.500 0.340
Mn1 0.844 0.500 0.695
```

Record 3
The following is a GGA-PBE calculation of an optimized crystal structure of TmLuMgAu, from Alexandria via LeMat-Bulk.

Calculated values
- crystal system = cubic
- DOS(E_F) (states/eV per atom) = 1.143
- E (eV/atom) = -3.89
- energy of formation from the pure elements (eV per atom) = -0.42

```
data_TmLuMgAu
_chemical_formula_sum 'Tm4 Lu4 Mg4 Au4'
_cell_length_a 7.224
_cell_length_b 7.224
_cell_length_c 7.224
_cell_angle_alpha 90.00
_cell_angle_beta 90.00
_cell_angle_gamma 90.00
_space_group_name_H-M_alt 'F -4 3 m'
_space_group_IT_number 216
_space_group_name_Hall 'F -4 2 3'
loop_
_atom_site_label
_atom_site_fract_x
_atom_site_fract_y
_atom_site_fract_z
Tm1 0.000 0.000 0.000
Lu1 0.000 0.000 0.500
Mg1 0.250 0.250 0.250
Au1 0.250 0.250 0.750
```

Record 4
The following is a GGA-PBE calculation of an optimized crystal structure of RbGaPb, from Alexandria via LeMat-Bulk.

Calculated values
- crystal system = orthorhombic
- DOS(E_F) (states/eV per atom) = 0.185
- E (eV/atom) = -2.55
- energy of formation from the pure elements (eV per atom) = 0.02

```
data_RbGaPb
_chemical_formula_sum 'Rb2 Ga2 Pb2'
_cell_length_a 7.178
_cell_length_b 6.437
_cell_length_c 5.064
_cell_angle_alpha 90.00
_cell_angle_beta 90.00
_cell_angle_gamma 90.00
_space_group_name_H-M_alt 'P m m a'
_space_group_IT_number 51
loop_
_space_group_symop_operation_xyz
'x,y,z'
'-x,-y,-z'
'-x+1/2,-y,z'
'x+1/2,y,-z'
'x+1/2,-y,-z'
'-x+1/2,y,z'
'-x,y,-z'
'x,-y,z'
loop_
_atom_site_label
_atom_site_fract_x
_atom_site_fract_y
_atom_site_fract_z
Rb1 0.250 0.000 0.194
Ga1 0.000 0.500 0.000
Pb1 0.250 0.500 0.569
```

Record 5
The following is a GGA-PBE calculation of an optimized crystal structure of TiIn2Pd3, from Alexandria via LeMat-Bulk.

Calculated values
- crystal system = tetragonal
- DOS(E_F) (states/eV per atom) = 0.181
- E (eV/atom) = -5.36
- energy of formation from the pure elements (eV per atom) = -0.54

```
data_TiIn2Pd3
_chemical_formula_sum 'Ti1 In2 Pd3'
_cell_length_a 3.308
_cell_length_b 3.308
_cell_length_c 9.500
_cell_angle_alpha 90.00
_cell_angle_beta 90.00
_cell_angle_gamma 90.00
_space_group_name_H-M_alt 'P 4/m m m'
_space_group_IT_number 123
_space_group_name_Hall '-P 4 2'
loop_
_atom_site_label
_atom_site_fract_x
_atom_site_fract_y
_atom_site_fract_z
Ti1 0.000 0.000 0.000
In1 0.000 0.000 0.326
Pd1 0.500 0.500 0.147
Pd2 0.500 0.500 0.500
```

Record 6
The following is a GGA-PBE calculation of an optimized crystal structure of Hg2IrSe, from Alexandria via LeMat-Bulk.

Calculated values
- crystal system = orthorhombic
- DOS(E_F) (states/eV per atom) = 0.553
- E (eV/atom) = -2.69

```
data_Hg2IrSe
_chemical_formula_sum 'Hg4 Ir2 Se2'
_cell_length_a 5.793
_cell_length_b 8.526
_cell_length_c 3.149
_cell_angle_alpha 90.00
_cell_angle_beta 90.00
_cell_angle_gamma 90.00
_space_group_name_H-M_alt 'C m m m'
_space_group_IT_number 65
_space_group_name_Hall '-C 2 2'
loop_
_atom_site_label
_atom_site_fract_x
_atom_site_fract_y
_atom_site_fract_z
Hg1 0.250 0.250 0.000
Ir1 0.000 0.000 0.500
Se1 0.000 0.500 0.500
```

Record 7
The following is a GGA-PBE calculation of an optimized crystal structure of SmNpPd4, from Alexandria via LeMat-Bulk.

Calculated values
- crystal system = cubic
- DOS(E_F) (states/eV per atom) = 2.444
- E (eV/atom) = -6.91
- energy of formation from the pure elements (eV per atom) = -0.50

```
data_SmNpPd4
_chemical_formula_sum 'Sm4 Np4 Pd16'
_cell_length_a 7.737
_cell_length_b 7.737
_cell_length_c 7.737
_cell_angle_alpha 90.00
_cell_angle_beta 90.00
_cell_angle_gamma 90.00
_space_group_name_H-M_alt 'F -4 3 m'
_space_group_IT_number 216
_space_group_name_Hall 'F -4 2 3'
loop_
_atom_site_label
_atom_site_fract_x
_atom_site_fract_y
_atom_site_fract_z
Sm1 0.000 0.000 0.000
Np1 0.250 0.250 0.750
Pd1 0.125 0.125 0.375
```

Record 8
The following is a GGA-PBE calculation of an optimized crystal structure of Nb2MoAu2, from Alexandria via LeMat-Bulk.

Calculated values
- crystal system = tetragonal
- DOS(E_F) (states/eV per atom) = 1.180
- E (eV/atom) = -7.18
- energy of formation from the pure elements (eV per atom) = 0.32

```
data_Nb2MoAu2
_chemical_formula_sum 'Nb4 Mo2 Au4'
_cell_length_a 7.213
_cell_length_b 7.213
_cell_length_c 3.511
_cell_angle_alpha 90.00
_cell_angle_beta 90.00
_cell_angle_gamma 90.00
_space_group_name_H-M_alt 'P 4/m b m'
_space_group_IT_number 127
_space_group_name_Hall '-P 4 2ab'
loop_
_atom_site_label
_atom_site_fract_x
_atom_site_fract_y
_atom_site_fract_z
Nb1 0.174 0.326 0.000
Mo1 0.000 0.000 0.500
Au1 0.130 0.630 0.500
```

Record 9
The following is a GGA-PBE calculation of an optimized crystal structure of LiPmI4, from Alexandria via LeMat-Bulk.

Calculated values
- crystal system = triclinic
- DOS(E_F) (states/eV per atom) = 0.000
- E (eV/atom) = -3.44

```
data_LiPmI4
_chemical_formula_sum 'Li2 Pm2 I8'
_cell_length_a 7.662
_cell_length_b 7.695
_cell_length_c 10.520
_cell_angle_alpha 103.87
_cell_angle_beta 103.75
_cell_angle_gamma 110.19
_space_group_name_H-M_alt 'P -1'
_space_group_IT_number 2
loop_
_space_group_symop_operation_xyz
'x,y,z'
'-x,-y,-z'
loop_
_atom_site_label
_atom_site_fract_x
_atom_site_fract_y
_atom_site_fract_z
Li1 0.168 0.417 0.335
Pm1 0.326 0.076 0.652
I1 0.056 0.299 0.596
I2 0.170 0.917 0.854
I3 0.316 0.563 0.146
I4 0.460 0.203 0.404
```

Record 10
The following is a GGA-PBE calculation of an optimized crystal structure of Er2ThCd8, from Alexandria via LeMat-Bulk.

Calculated values
- crystal system = monoclinic
- DOS(E_F) (states/eV per atom) = 0.722
- E (eV/atom) = -2.35
- energy of formation from the pure elements (eV per atom) = -0.18

```
data_Er2ThCd8
_chemical_formula_sum 'Er4 Th2 Cd16'
_cell_length_a 8.273
_cell_length_b 15.774
_cell_length_c 5.352
_cell_angle_alpha 90.00
_cell_angle_beta 130.00
_cell_angle_gamma 90.00
_space_group_name_H-M_alt 'C 1 2/m 1'
_space_group_IT_number 12
loop_
_space_group_symop_operation_xyz
'x,y,z'
'-x,-y,-z'
'-x,y,-z'
'x,-y,z'
'x+1/2,y+1/2,z'
'-x+1/2,-y+1/2,-z'
'-x+1/2,y+1/2,-z'
'x+1/2,-y+1/2,z'
loop_
_atom_site_label
_atom_site_fract_x
_atom_site_fract_y
_atom_site_fract_z
Er1 0.000 0.187 0.000
Th1 0.000 0.500 0.500
Cd1 0.000 0.295 0.500
Cd2 0.002 0.000 0.755
Cd3 0.230 0.371 0.231
```

Record 11
The following is a GGA-PBE calculation of an optimized crystal structure of PmNd4Te2, from Alexandria via LeMat-Bulk.

Calculated values
- crystal system = tetragonal
- DOS(E_F) (states/eV per atom) = 1.506
- E (eV/atom) = -4.29

```
data_PmNd4Te2
_chemical_formula_sum 'Pm2 Nd8 Te4'
_cell_length_a 5.663
_cell_length_b 5.663
_cell_length_c 16.255
_cell_angle_alpha 90.00
_cell_angle_beta 90.00
_cell_angle_gamma 90.00
_space_group_name_H-M_alt 'I 4/m m m'
_space_group_IT_number 139
_space_group_name_Hall '-I 4 2'
loop_
_atom_site_label
_atom_site_fract_x
_atom_site_fract_y
_atom_site_fract_z
Pm1 0.000 0.000 0.000
Nd1 0.000 0.000 0.189
Nd2 0.000 0.500 0.000
Te1 0.000 0.000 0.376
```

Record 12
The following is a GGA-PBE calculation of an optimized crystal structure of PmSmSe2Cl, from Alexandria via LeMat-Bulk.

Calculated values
- crystal system = tetragonal
- DOS(E_F) (states/eV per atom) = 0.301
- E (eV/atom) = -5.56

```
data_PmSmSe2Cl
_chemical_formula_sum 'Pm2 Sm2 Se4 Cl2'
_cell_length_a 4.197
_cell_length_b 4.197
_cell_length_c 14.160
_cell_angle_alpha 90.00
_cell_angle_beta 90.00
_cell_angle_gamma 90.00
_space_group_name_H-M_alt 'P 4/n m m'
_space_group_IT_number 129
loop_
_space_group_symop_operation_xyz
'x,y,z'
'-x,-y,-z'
'-y+1/2,x,z'
'y+1/2,-x,-z'
'-x+1/2,-y+1/2,z'
'x+1/2,y+1/2,-z'
'y,-x+1/2,z'
'-y,x+1/2,-z'
'x+1/2,-y,-z'
'-x+1/2,y,z'
'-y,-x,-z'
'y,x,z'
'-x,y+1/2,-z'
'x,-y+1/2,z'
'y+1/2,x+1/2,-z'
'-y+1/2,-x+1/2,z'
loop_
_atom_site_label
_atom_site_fract_x
_atom_site_fract_y
_atom_site_fract_z
Pm1 0.250 0.250 0.144
Sm1 0.250 0.250 0.591
Se1 0.250 0.250 0.379
Se2 0.250 0.250 0.799
Cl1 0.250 0.750 0.000
```

Record 13
The following is a GGA-PBE calculation of an optimized crystal structure of InSiAu2, from Alexandria via LeMat-Bulk.

Calculated values
- crystal system = cubic
- DOS(E_F) (states/eV per atom) = 0.620
- E (eV/atom) = -3.49

```
data_InSiAu2
_chemical_formula_sum 'In4 Si4 Au8'
_cell_length_a 6.758
_cell_length_b 6.758
_cell_length_c 6.758
_cell_angle_alpha 90.00
_cell_angle_beta 90.00
_cell_angle_gamma 90.00
_space_group_name_H-M_alt 'F m -3 m'
_space_group_IT_number 225
_space_group_name_Hall '-F 4 2 3'
loop_
_atom_site_label
_atom_site_fract_x
_atom_site_fract_y
_atom_site_fract_z
In1 0.000 0.000 0.000
Si1 0.000 0.000 0.500
Au1 0.250 0.250 0.250
```

Record 14
The following is a GGA-PBE calculation of an optimized crystal structure of BiPbIN2, from Alexandria via LeMat-Bulk.

Calculated values
- crystal system = tetragonal
- DOS(E_F) (states/eV per atom) = 0.674
- E (eV/atom) = -3.78

```
data_BiPbIN2
_chemical_formula_sum 'Bi1 Pb1 I1 N2'
_cell_length_a 4.554
_cell_length_b 4.554
_cell_length_c 6.267
_cell_angle_alpha 90.00
_cell_angle_beta 90.00
_cell_angle_gamma 90.00
_space_group_name_H-M_alt 'P 4/m m m'
_space_group_IT_number 123
_space_group_name_Hall '-P 4 2'
loop_
_atom_site_label
_atom_site_fract_x
_atom_site_fract_y
_atom_site_fract_z
Bi1 0.000 0.000 0.000
Pb1 0.500 0.500 0.500
I1 0.000 0.000 0.500
N1 0.000 0.500 0.000
```

Record 15
The following is a GGA-PBE calculation of an optimized crystal structure of Li6Mg3Pb, from Alexandria via LeMat-Bulk.

Calculated values
- crystal system = monoclinic
- DOS(E_F) (states/eV per atom) = 0.365
- E (eV/atom) = -2.06
- energy of formation from the pure elements (eV per atom) = -0.07

```
data_Li6Mg3Pb
_chemical_formula_sum 'Li12 Mg6 Pb2'
_cell_length_a 6.840
_cell_length_b 7.563
_cell_length_c 10.370
_cell_angle_alpha 90.00
_cell_angle_beta 130.90
_cell_angle_gamma 90.00
_space_group_name_H-M_alt 'P 1 21/c 1'
_space_group_IT_number 14
loop_
_space_group_symop_operation_xyz
'x,y,z'
'-x,-y,-z'
'-x,y+1/2,-z+1/2'
'x,-y+1/2,z+1/2'
loop_
_atom_site_label
_atom_site_fract_x
_atom_site_fract_y
_atom_site_fract_z
Li1 0.113 0.122 0.143
Li2 0.139 0.180 0.882
Li3 0.335 0.641 0.363
Mg1 0.000 0.000 0.500
Mg2 0.430 0.656 0.676
Pb1 0.500 0.000 0.500
```